No. 1
Density functional theory data (GGA-PBE) for an optimized crystal structure of HfSn2Rh4.

M_tot   0.00 μB per formula unit

extended XYZ file:
```
7
Lattice="-2.388 2.388 6.665 2.388 -2.388 6.665 2.388 2.388 -6.665" Properties=species:S:1:pos:R:3 pbc="T T T"
Hf 0.000 0.000 0.000
Sn 0.000 0.000 5.050
Sn 0.000 0.000 8.280
Rh 2.388 0.000 0.000
Rh 0.000 0.000 2.467
Rh 0.000 2.388 0.000
Rh 0.000 0.000 10.864
```

***

No. 2
Density functional theory data (GGA-PBE) for an optimized crystal structure of Hf2Sn2Rh3.

M_tot   0.00 μB per formula unit

extended XYZ file:
```
7
Lattice="4.521 0.000 0.000 2.245 3.938 0.000 2.073 1.160 7.620" Properties=species:S:1:pos:R:3 pbc="T T T"
Hf 1.127 0.658 0.946
Hf 7.712 4.440 6.674
Sn 3.348 1.943 2.709
Sn 5.491 3.155 4.911
Rh 1.037 0.580 3.810
Rh 3.180 1.799 5.900
Rh 5.659 3.299 1.720
```

***

No. 3
Density functional theory data (GGA-PBE) for an optimized crystal structure of Hf2SnRh.

M_tot   0.00 μB per formula unit

extended XYZ file:
```
4
Lattice="1.545 0.892 10.101 -1.545 0.892 10.101 0.000 -1.784 10.101" Properties=species:S:1:pos:R:3 pbc="T T T"
Hf 0.000 0.000 2.452
Hf 0.000 0.000 27.850
Sn 0.000 0.000 15.151
Rh 0.000 0.000 0.000
```

***

No. 4
Density functional theory data (GGA-PBE) for an optimized crystal structure of Hf4SnRh.

M_tot   0.00 μB per formula unit

extended XYZ file:
```
12
Lattice="6.340 0.000 0.000 0.000 7.805 0.000 -2.311 0.000 5.159" Properties=species:S:1:pos:R:3 pbc="T T T"
Hf 0.796 1.348 0.227
Hf -0.359 2.555 2.807
Hf 1.106 5.104 2.052
Hf -0.050 6.603 4.631
Hf 4.078 1.202 0.528
Hf 2.923 2.701 3.107
Hf 4.388 5.250 2.352
Hf 3.232 6.457 4.932
Sn 2.014 0.000 2.579
Sn 3.170 3.902 0.000
Rh -1.156 0.000 2.579
Rh 0.000 3.902 0.000
```

***

No. 5
Density functional theory data (GGA-PBE) for an optimized crystal structure of HfTi2SnRh.

M_tot   0.15 μB per formula unit

extended XYZ file:
```
5
Lattice="4.703 0.000 0.000 0.000 4.703 0.000 0.000 0.000 5.287" Properties=species:S:1:pos:R:3 pbc="T T T"
Hf 0.000 0.000 0.000
Ti 0.000 2.352 0.000
Ti 2.352 0.000 0.000
Sn 0.000 0.000 2.643
Rh 2.352 2.352 2.643
```

***

No. 6
Density functional theory data (GGA-PBE) for an optimized crystal structure of SrHfRh2.

M_tot   0.00 μB per formula unit
ΔE to the lowest computed polymorph   0 meV per atom

extended XYZ file:
```
4
Lattice="3.297 0.000 0.000 0.000 3.297 0.000 0.000 0.000 7.469" Properties=species:S:1:pos:R:3 pbc="T T T"
Sr 0.000 0.000 0.000
Hf 0.000 0.000 3.735
Rh 1.649 1.649 2.237
Rh 1.649 1.649 5.232
```

***

No. 7
Density functional theory data (GGA-PBE) for an optimized crystal structure of SrHfRh2.

M_tot   0.00 μB per formula unit
ΔE to the lowest computed polymorph   291 meV per atom

extended XYZ file:
```
4
Lattice="0.000 3.402 3.402 3.402 0.000 3.402 3.402 3.402 0.000" Properties=species:S:1:pos:R:3 pbc="T T T"
Sr 0.000 0.000 0.000
Hf 3.402 3.402 3.402
Rh 1.701 1.701 1.701
Rh 5.103 5.103 5.103
```

***

No. 8
Density functional theory data (GGA-PBE) for an optimized crystal structure of SrHfRh2.

M_tot   0.00 μB per formula unit
ΔE to the lowest computed polymorph   480 meV per atom

extended XYZ file:
```
8
Lattice="-3.706 3.706 3.275 3.706 -3.706 3.275 3.706 3.706 -3.275" Properties=species:S:1:pos:R:3 pbc="T T T"
Sr 0.000 0.000 0.000
Sr 0.000 3.706 1.638
Hf 3.706 0.000 1.638
Hf 0.000 0.000 3.275
Rh 1.853 2.182 -0.819
Rh 5.230 1.853 0.819
Rh 1.853 1.524 2.456
Rh -1.524 1.853 4.094
```

***

Number 1: energy relative to the elements 2.3 eV per formula unit. Number 2: energy relative to the elements -4.2 eV per formula unit. Number 3: energy relative to the elements 0.1 eV per formula unit. Number 4: energy relative to the elements -1.2 eV per formula unit. Number 5: energy relative to the elements 6.1 eV per formula unit. Number 6: energy relative to the elements -2.5 eV per formula unit. Number 7: energy relative to the elements -1.3 eV per formula unit. Number 8: energy relative to the elements -0.6 eV per formula unit.